No. 1
PmHo2Hg6: relaxed, GGA-PBE.

The structure in extended XYZ format:
```
9
Lattice="-2.806 -1.413 -3.261 0.117 -4.189 1.715 -8.717 5.575 8.230" Properties=species:S:1:pos:R:3 pbc="T T T"
Pm 0.000 0.000 0.000
Ho -6.674 1.839 4.946
Ho -4.733 -1.868 1.738
Hg -9.717 1.585 4.531
Hg -8.256 0.197 7.019
Hg -1.690 -1.613 2.153
Hg -6.434 0.680 2.098
Hg -4.973 -0.708 4.586
Hg -3.152 -0.225 -0.335
```

Results
* magnetic moment: 0.0 μB/f.u.
* energy above the lowest structure with this stoichiometry: 233 meV/atom
* total energy: -17.20 eV for the cell shown
* formation energy from the elements: -15.9 kJ per mole of atoms

No. 2
Pm2Ho2Hg5: relaxed, GGA-PBE.

The structure in extended XYZ format:
```
18
Lattice="-5.314 -2.063 4.937 -5.107 -1.875 -6.279 5.427 -6.642 3.065" Properties=species:S:1:pos:R:3 pbc="T T T"
Pm 1.133 -2.988 -0.029
Pm -4.077 -4.957 -0.700
Pm -0.812 -5.529 -3.184
Pm -0.916 -5.623 2.424
Ho -7.728 -2.910 -2.039
Ho -2.692 -1.028 0.697
Ho -4.189 -1.555 -3.424
Ho -6.231 -2.383 2.082
Hg 0.000 0.000 0.000
Hg -5.210 -1.969 -0.671
Hg -7.142 -5.062 0.132
Hg -1.718 -2.990 -1.514
Hg -5.467 -4.391 -3.543
Hg -3.394 -3.661 2.161
Hg 2.149 -5.517 1.591
Hg -3.275 -7.590 3.238
Hg 0.473 -6.188 5.267
Hg -1.600 -6.919 -0.438
```

Results
* magnetic moment: 0.0 μB/f.u.
* total energy: -46.29 eV for the cell shown
* formation energy from the elements: -31.9 kJ per mole of atoms